No. 1
Compound: InCuWAu
Source: OQMD via LeMat-Bulk
Functional: PBE
Structure: relaxed

Lattice parameters (Å, degrees): 4.590 4.590 4.590 60.00 60.00 60.00
Positions (direct):
In  0.000  0.000  0.000
Cu  0.250  0.250  0.250
W  0.500  0.500  0.500
Au  0.750  0.750  0.750

***

No. 2
Compound: Zr2In2CuAu
Source: OQMD via LeMat-Bulk
Functional: PBE
Structure: relaxed

Lattice parameters (Å, degrees): 7.833 4.509 14.963 90.00 99.80 90.00
Positions (direct):
Zr  0.000  0.000  0.000
Zr  0.003  0.500  0.493
Zr  0.242  0.000  0.741
Zr  0.246  0.500  0.243
Zr  0.489  0.000  0.488
Zr  0.499  0.500  0.000
Zr  0.746  0.000  0.240
Zr  0.754  0.500  0.742
In  0.122  0.500  0.863
In  0.129  0.000  0.365
In  0.362  0.500  0.613
In  0.374  0.000  0.126
In  0.610  0.500  0.364
In  0.622  0.000  0.868
In  0.876  0.500  0.127
In  0.882  0.000  0.620
Cu  0.060  0.000  0.183
Cu  0.060  0.500  0.679
Cu  0.307  0.500  0.429
Cu  0.559  0.500  0.182
Au  0.309  0.000  0.933
Au  0.559  0.000  0.678
Au  0.810  0.000  0.429
Au  0.812  0.500  0.934

***

No. 3
Compound: Y3Mg3CuIrAu
Source: OQMD via LeMat-Bulk
Functional: PBE
Structure: relaxed

Lattice parameters (Å, degrees): 7.539 7.539 3.976 90.00 90.00 120.00
Positions (direct):
Y  0.090  0.736  0.000
Y  0.264  0.354  0.000
Y  0.646  0.910  0.000
Mg  0.423  0.088  0.500
Mg  0.665  0.577  0.500
Mg  0.912  0.335  0.500
Cu  0.667  0.333  0.000
Ir  0.333  0.667  0.500
Au  0.000  0.000  0.500

***

The following energy values (in eV for the cell shown) correspond, in order, to the records above: -20.317 -126.234 -44.850.
The following total magnetization values (in μB per formula unit) correspond, in order, to the records above: 1.9 0.0 0.0.